1:
An optimized crystal structure of Mn2CrH2. Source: Alexandria, functional PBE-GGA.

## Properties
Volume   7.6 Å³/atom
Space group   P4/mbm, No. 127

```
Mn2CrH2
1.0
-4.036 -3.098 -1.733
3.542 -3.347 -2.267
0.112 -1.401 2.244
H Mn Cr
4 4 2
Direct
0.819 0.681 0.000
0.181 0.319 0.000
0.681 0.181 0.000
0.319 0.819 0.000
0.640 0.860 0.500
0.860 0.360 0.500
0.140 0.640 0.500
0.360 0.140 0.500
0.000 0.000 0.000
0.500 0.500 0.000
```

2:
An optimized crystal structure of Mn2CrH2. Source: Alexandria, functional PBE-GGA.

## Properties
Volume   7.4 Å³/atom
Space group   Cmcm, No. 63

```
Mn2CrH2
1.0
2.542 0.000 -0.564
0.000 3.821 0.000
0.343 0.000 7.555
H Cr Mn
4 2 4
Direct
0.794 0.473 0.588
0.377 0.973 0.755
0.206 0.973 0.412
0.623 0.473 0.245
0.386 0.473 0.772
0.614 0.973 0.228
0.037 0.473 0.074
0.963 0.973 0.926
0.792 0.973 0.584
0.208 0.473 0.416
```

3:
An optimized crystal structure of Mn2CrH2. Source: Alexandria, functional PBE-GGA.

## Properties
Volume   8.3 Å³/atom
Space group   I4/mmm, No. 139

```
Mn2CrH2
1.0
2.754 0.000 0.000
0.000 2.754 0.000
1.377 1.377 5.457
H Cr Mn
2 1 2
Direct
0.750 0.250 0.500
0.250 0.750 0.500
0.000 0.000 0.000
0.354 0.354 0.292
0.646 0.646 0.708
```

Relative energies in meV per atom: 1 203; 2 0; 3 48

1:
An optimized crystal structure of Mn3CrH. Source: Alexandria, functional PBE-GGA.

## Properties
Volume   9.3 Å³/atom
Space group   P2_1/m, No. 11

```
Mn3CrH
1.0
-3.786 -1.620 -0.274
0.854 -3.951 1.534
-1.062 1.659 4.865
Mn Cr H
6 2 2
Direct
0.268 0.688 0.750
0.223 0.205 0.500
0.223 0.205 0.000
0.777 0.795 0.500
0.732 0.312 0.250
0.777 0.795 0.000
0.724 0.320 0.750
0.276 0.680 0.250
0.499 0.998 0.750
0.501 0.002 0.250
```

2:
An optimized crystal structure of Mn3CrH. Source: Alexandria, functional PBE-GGA.

## Properties
Volume   17.8 Å³/atom
Space group   Pm-3m, No. 221

```
Mn3CrH
1.0
4.464 0.000 0.000
0.000 4.464 0.000
0.000 0.000 4.464
Mn H Cr
3 1 1
Direct
0.000 0.500 0.000
0.500 0.000 0.000
0.000 0.000 0.500
0.500 0.500 0.500
0.000 0.000 0.000
```

Relative energies in meV per atom: 1 0; 2 1462